# 1
DFT (GGA-PBE) results for a geometry-optimized Cr3TePt structure.

Output
ΔE_f (raw) in meV/atom: 866
Magnetic moment in μB per formula unit: 12.6
Offset from the most stable computed form in eV per formula unit: 0.00
Calculated volume in Å³/f.u.: 119

Cell: 4.9209 4.9209 4.9209 Å, 90.00 90.00 90.00°
With the nearest neighbours (Å) after each atom.
Space group Pm-3m (No. 221)
Inequivalent atoms, fractional coordinates:
Cr  0.0000  0.0000  0.5000  2 Pt 2.46
Te  0.5000  0.5000  0.5000  12 Cr 3.48
Pt  0.0000  0.0000  0.0000  6 Cr 2.46

***

# 2
DFT (GGA-PBE) results for a geometry-optimized Sm5Er8Mg structure.

Output
Magnetic moment in μB per formula unit: 0.0
E_form in eV per atom: 0.228
Calculated volume in Å³/f.u.: 454

Cell: 9.5614 9.5614 9.9266 Å, 90.00 90.00 90.00°
With the nearest neighbours (Å) after each atom.
Space group I-4 (No. 82)
Inequivalent atoms, fractional coordinates:
Sm  0.0000  0.0000  0.0000  8 Er 3.11-3.32
Sm  0.1041  0.2121  0.5795  8 Er 3.33-3.58, 2 Sm 3.56
Er  0.0698  0.3260  0.9068  5 Sm 3.32-3.58, 4 Er 3.59-3.65
Er  0.0875  0.1823  0.2455  4 Sm 3.11-3.45, 1 Mg 3.15
Mg  0.0000  0.5000  0.2500  4 Er 3.15

***

# 3
DFT (GGA-PBE) results for a geometry-optimized Sc2MnBe2Ru5 structure.

Output
Magnetic moment in μB per formula unit: 1.8
E_form in eV per atom: -0.317
Calculated volume in Å³/f.u.: 137

Cell: 9.3146 9.3146 3.1668 Å, 90.00 90.00 90.00°
With the nearest neighbours (Å) after each atom.
Space group P4/mbm (No. 127)
Inequivalent atoms, fractional coordinates:
Sc  0.1733  0.3267  0.0000  3 Be 2.66-2.81, 6 Ru 2.78-2.89
Mn  0.0000  0.0000  0.0000  8 Ru 2.55
Be  0.1247  0.6247  0.0000  6 Ru 2.28-2.31
Ru  0.0000  0.5000  0.5000  4 Be 2.28
Ru  0.0686  0.7960  0.5000  2 Be 2.31, 2 Mn 2.55